An optimized crystal structure of RhWO2, computed with PBE+U.

abc: 5.6636 5.6636 5.6636
angles: 90.00 90.00 90.00
Fractional positions:
Rh 0.0000 0.0000 0.0000
Rh 0.0000 0.5000 0.5000
Rh 0.5000 0.0000 0.5000
Rh 0.5000 0.5000 0.0000
W 0.0000 0.0000 0.5000
W 0.0000 0.5000 0.0000
W 0.5000 0.0000 0.0000
W 0.5000 0.5000 0.5000
O 0.2500 0.2500 0.2500
O 0.2500 0.2500 0.7500
O 0.2500 0.7500 0.2500
O 0.2500 0.7500 0.7500
O 0.7500 0.2500 0.2500
O 0.7500 0.2500 0.7500
O 0.7500 0.7500 0.2500
O 0.7500 0.7500 0.7500

Summary:
Magnetic moment: 3.93 μB/cell
V: 45.4 Å³/f.u.
Symmetry: Fm-3m
Distance to the lowest polymorph of the same formula: 845 meV/atom
E_tot: -6.03 eV per atom